[1]
VASP calculation (PBE) on an optimized crystal structure of KNaMg2N.

The structure belongs to space group P4/mmm (No. 123); the cell edges are 6.2780, 6.2780 and 6.3738 Å and the angles 90.00°, 90.00° and 90.00°. The inequivalent atoms are K at (0.0000, 0.0000, 0.0000), Na at (0.0000, 0.0000, 0.5000), Mg at (0.0000, 0.5000, 0.0000) and N at (0.5000, 0.5000, 0.5000).

The raw formation energy is 1.954 eV per atom. The total energy is -0.83 eV/atom. The crystal system is tetragonal.


[2]
VASP calculation (PBE) on an optimized crystal structure of VIrRh6.

The structure belongs to space group P4/mmm (No. 123); the cell edges are 5.4180, 5.4180 and 3.8346 Å and the angles 90.00°, 90.00° and 90.00°. The inequivalent atoms are V at (0.0000, 0.0000, 0.0000), Ir at (0.5000, 0.5000, 0.0000), Rh at (0.0000, 0.5000, 0.0000) and Rh at (0.2470, 0.2470, 0.5000).

The offset from the most stable computed form comes out at 0.0 meV per atom. For the energy of formation from the pure elements, the calculation gives -159 meV per atom. The total energy is -7.92 eV/atom. The crystal system is tetragonal.


[3]
VASP calculation (PBE) on an optimized crystal structure of LiGdTmPt.

The structure belongs to space group F-43m (No. 216); the cell edges are 7.0294, 7.0294 and 7.0294 Å and the angles 90.00°, 90.00° and 90.00°. The inequivalent atoms are Li at (0.0000, 0.0000, 0.0000), Gd at (0.2500, 0.2500, 0.7500), Tm at (0.2500, 0.2500, 0.2500) and Pt at (0.0000, 0.0000, 0.5000).

For the energy of formation from the pure elements, the calculation gives -667 meV per atom. The total energy is -7.29 eV/atom. The crystal system is cubic.


[4]
VASP calculation (PBE) on an optimized crystal structure of HfBi2Os2.

The structure belongs to space group I4/mmm (No. 139); the cell edges are 4.5392, 4.5392 and 11.0479 Å and the angles 90.00°, 90.00° and 90.00°. The inequivalent atoms are Hf at (0.0000, 0.0000, 0.0000), Bi at (0.0000, 0.0000, 0.3728) and Os at (0.0000, 0.5000, 0.2500).

The offset from the most stable computed form comes out at 268.2 meV per atom. For the energy of formation from the pure elements, the calculation gives 1132 meV per atom. The total energy is -6.90 eV/atom. The crystal system is tetragonal.


[5]
VASP calculation (PBE) on an optimized crystal structure of DyPaIrPt.

The structure belongs to space group F-43m (No. 216); the cell edges are 6.9628, 6.9628 and 6.9628 Å and the angles 90.00°, 90.00° and 90.00°. The inequivalent atoms are Dy at (0.0000, 0.0000, 0.0000), Pa at (0.0000, 0.0000, 0.5000), Ir at (0.2500, 0.2500, 0.2500) and Pt at (0.2500, 0.2500, 0.7500).

The offset from the most stable computed form comes out at 250.4 meV per atom. For the energy of formation from the pure elements, the calculation gives -820 meV per atom. The total energy is -8.07 eV/atom. The crystal system is cubic.


[6]
VASP calculation (PBE) on an optimized crystal structure of Bi3OsO7.

The structure belongs to space group C222_1 (No. 20); the cell edges are 7.9099, 10.9424 and 7.5465 Å and the angles 90.00°, 90.00° and 90.00°. The inequivalent atoms are Bi at (0.0417, 0.0000, 0.0000), Bi at (0.2396, 0.2588, 0.7541), Os at (0.0006, 0.5000, 0.0000), O at (0.0000, 0.1360, 0.7500), O at (0.0000, 0.1369, 0.2500), O at (0.0000, 0.4660, 0.7500), O at (0.1715, 0.3711, 0.0279) and O at (0.1965, 0.3810, 0.4748).

The raw formation energy is -1.158 eV per atom. The total energy is -6.39 eV/atom. The crystal system is orthorhombic.


[7]
VASP calculation (PBE) on an optimized crystal structure of SiAs2P.

The structure belongs to space group Cm (No. 8); the cell edges are 9.9911, 3.2841 and 6.2401 Å and the angles 90.00°, 126.76° and 90.00°. The inequivalent atoms are Si at (0.0000, 0.0000, 0.0000), As at (0.0088, 0.5000, 0.6840), As at (0.2744, 0.5000, 0.2633) and P at (0.3329, 0.0000, 0.9890).

The raw formation energy is 0.426 eV per atom. The offset from the most stable computed form comes out at 318.8 meV per atom. The total energy is -4.61 eV/atom. The crystal system is monoclinic.


[8]
VASP calculation (PBE) on an optimized crystal structure of CdCu2As.

The structure belongs to space group R3m (No. 160, hexagonal axes); the cell edges are 4.0756, 4.0756 and 14.5529 Å and the angles 90.00°, 90.00° and 120.00°. The inequivalent atoms are Cd at (0.0000, 0.0000, 0.0000), Cu at (0.0000, 0.0000, 0.2221), Cu at (0.0000, 0.0000, 0.4304) and As at (0.0000, 0.0000, 0.8129).

The offset from the most stable computed form comes out at 0.0 meV per atom. For the energy of formation from the pure elements, the calculation gives 113 meV per atom. The total energy is -3.33 eV/atom. The crystal system is trigonal.


[9]
VASP calculation (PBE) on an optimized crystal structure of Sm2HoNb.

The structure belongs to space group R-3m (No. 166, hexagonal axes); the cell edges are 3.3350, 3.3350 and 34.9683 Å and the angles 90.00°, 90.00° and 120.00°. The inequivalent atoms are Sm at (0.0000, 0.0000, 0.0831), Ho at (0.0000, 0.0000, 0.5000) and Nb at (0.0000, 0.0000, 0.0000).

For the energy of formation from the pure elements, the calculation gives 552 meV per atom. The total energy is -5.47 eV/atom. The crystal system is trigonal.


[10]
VASP calculation (PBE) on an optimized crystal structure of MgZnSn2.

The structure belongs to space group P4/mmm (No. 123); the cell edges are 3.6831, 3.6831 and 6.7910 Å and the angles 90.00°, 90.00° and 90.00°. The inequivalent atoms are Mg at (0.0000, 0.0000, 0.0000), Zn at (0.0000, 0.0000, 0.5000) and Sn at (0.5000, 0.5000, 0.2678).

The offset from the most stable computed form comes out at 9.9 meV per atom. For the energy of formation from the pure elements, the calculation gives 13 meV per atom. The total energy is -2.71 eV/atom. The crystal system is tetragonal.


[11]
VASP calculation (PBE) on an optimized crystal structure of La2AgPd3.

The structure belongs to space group Pnma (No. 62); the cell edges are 7.5271, 4.0115 and 17.8043 Å and the angles 90.00°, 90.00° and 90.00°. The inequivalent atoms are La at (0.1036, 0.2500, 0.2073), La at (0.1586, 0.2500, 0.4289), Ag at (0.0121, 0.7500, 0.0604), Pd at (0.0908, 0.2500, 0.6548), Pd at (0.2101, 0.2500, 0.8092) and Pd at (0.2281, 0.7500, 0.5525).

The offset from the most stable computed form comes out at 0.0 meV per atom. For the energy of formation from the pure elements, the calculation gives -701 meV per atom. The total energy is -5.41 eV/atom. The crystal system is orthorhombic.


[12]
VASP calculation (PBE) on an optimized crystal structure of Ho2TmPb.

The structure belongs to space group Cmcm (No. 63); the cell edges are 3.4062, 26.3020 and 5.5928 Å and the angles 90.00°, 90.00° and 90.00°. The inequivalent atoms are Ho at (0.0000, 0.0938, 0.2500), Ho at (0.0000, 0.1819, 0.7500), Tm at (0.0000, 0.0304, 0.7500) and Pb at (0.0000, 0.3011, 0.7500).

The offset from the most stable computed form comes out at 359.6 meV per atom. For the energy of formation from the pure elements, the calculation gives 102 meV per atom. The total energy is -4.23 eV/atom. The crystal system is orthorhombic.


> Look up the total energy of the eleventh one.

-5.41 eV/atom